Entry from the Alexandria database: crystalline TlMoNO2 at its relaxed geometry (PBE with a Hubbard U).

Lattice parameters (Å, degrees): 4.0304 4.0304 4.0804 90.00 90.00 90.00
With the nearest neighbours (Å) after each atom.
Space group P4/mmm (No. 123)
Symmetry-distinct sites (fractional):
Tl  0.0000  0.0000  0.0000 (multiplicity 1)  4 N 2.85, 8 O 2.87
Mo  0.5000  0.5000  0.5000 (multiplicity 1)  4 O 2.02, 2 N 2.04
N  0.5000  0.5000  0.0000 (multiplicity 1)  2 Mo 2.04
O  0.0000  0.5000  0.5000 (multiplicity 2)  2 Mo 2.02

Properties
Calculated density (Mg/m³): 8.68
Uncorrected energy (Ry/atom): -0.4475
Magnetization (μB/f.u.): 0.33